Entry 1:
The following is a PBE calculation of a geometry-optimized Pr12Fe3H5 structure, from Alexandria.

Results
**Space-group type**: Ia-3d
**Energy**: -400.78 eV per cell
**Magnetic moment**: 0.0 μB/f.u.

abc: 13.4778 13.4778 13.4778
angles: 109.47 109.47 109.47
Closest atoms and distances in Å follow each position.
Element x y z (fractional)
Pr  0.0333  0.2198  0.1235  1 H 2.31
Pr  0.0333  0.3135  0.9098  1 H 2.31
Pr  0.0902  0.6235  0.4037  1 H 2.31
Pr  0.0902  0.9667  0.6865  1 H 2.31
Pr  0.0963  0.7198  0.6865  1 H 2.31
Pr  0.0963  0.8765  0.4098  1 H 2.31
Pr  0.1235  0.0333  0.2198  1 H 2.31
Pr  0.1235  0.5902  0.9037  1 H 2.31
Pr  0.1865  0.2198  0.5963  1 H 2.31
Pr  0.1865  0.4667  0.5902  1 H 2.31
Pr  0.2198  0.1235  0.0333  1 H 2.31
Pr  0.2198  0.5963  0.1865  1 H 2.31
Pr  0.2802  0.3135  0.9037  1 H 2.31
Pr  0.2802  0.4667  0.3765  1 H 2.31
Pr  0.3135  0.9037  0.2802  1 H 2.31
Pr  0.3135  0.9098  0.0333  1 H 2.31
Pr  0.3765  0.2802  0.4667  1 H 2.31
Pr  0.3765  0.5963  0.9098  1 H 2.31
Pr  0.4037  0.0902  0.6235  1 H 2.31
Pr  0.4037  0.8135  0.7802  1 H 2.31
Pr  0.4098  0.0963  0.8765  1 H 2.31
Pr  0.4098  0.8135  0.5333  1 H 2.31
Pr  0.4667  0.3765  0.2802  1 H 2.31
Pr  0.4667  0.5902  0.1865  1 H 2.31
Pr  0.5333  0.4098  0.8135  1 H 2.31
Pr  0.5333  0.6235  0.7198  1 H 2.31
Pr  0.5902  0.1865  0.4667  1 H 2.31
Pr  0.5902  0.9037  0.1235  1 H 2.31
Pr  0.5963  0.1865  0.2198  1 H 2.31
Pr  0.5963  0.9098  0.3765  1 H 2.31
Pr  0.6235  0.4037  0.0902  1 H 2.31
Pr  0.6235  0.7198  0.5333  1 H 2.31
Pr  0.6865  0.0902  0.9667  1 H 2.31
Pr  0.6865  0.0963  0.7198  1 H 2.31
Pr  0.7198  0.5333  0.6235  1 H 2.31
Pr  0.7198  0.6865  0.0963  1 H 2.31
Pr  0.7802  0.4037  0.8135  1 H 2.31
Pr  0.7802  0.8765  0.9667  1 H 2.31
Pr  0.8135  0.5333  0.4098  1 H 2.31
Pr  0.8135  0.7802  0.4037  1 H 2.31
Pr  0.8765  0.4098  0.0963  1 H 2.31
Pr  0.8765  0.9667  0.7802  1 H 2.31
Pr  0.9037  0.1235  0.5902  1 H 2.31
Pr  0.9037  0.2802  0.3135  1 H 2.31
Pr  0.9098  0.0333  0.3135  1 H 2.31
Pr  0.9098  0.3765  0.5963  1 H 2.31
Pr  0.9667  0.6865  0.0902  1 H 2.31
Pr  0.9667  0.7802  0.8765  1 H 2.31
Fe  0.1250  0.2500  0.3750  8 Pr 2.96-3.02
Fe  0.1250  0.3750  0.7500  8 Pr 2.96-3.02
Fe  0.2500  0.3750  0.1250  8 Pr 2.96-3.02
Fe  0.2500  0.8750  0.6250  8 Pr 2.96-3.02
Fe  0.3750  0.1250  0.2500  8 Pr 2.96-3.02
Fe  0.3750  0.7500  0.1250  8 Pr 2.96-3.02
Fe  0.6250  0.2500  0.8750  8 Pr 2.96-3.02
Fe  0.6250  0.8750  0.7500  8 Pr 2.96-3.02
Fe  0.7500  0.1250  0.3750  8 Pr 2.96-3.02
Fe  0.7500  0.6250  0.8750  8 Pr 2.96-3.02
Fe  0.8750  0.6250  0.2500  8 Pr 2.96-3.02
Fe  0.8750  0.7500  0.6250  8 Pr 2.96-3.02
H  0.0000  0.0000  0.0000  6 Pr 2.66
H  0.0000  0.0000  0.5000  6 Pr 2.66
H  0.0000  0.5000  0.0000  6 Pr 2.66
H  0.0000  0.5000  0.5000  6 Pr 2.66
H  0.1250  0.7500  0.8750  4 Pr 2.31
H  0.1250  0.8750  0.2500  4 Pr 2.31
H  0.2500  0.1250  0.8750  4 Pr 2.31
H  0.2500  0.6250  0.3750  4 Pr 2.31
H  0.3750  0.2500  0.6250  4 Pr 2.31
H  0.3750  0.6250  0.7500  4 Pr 2.31
H  0.5000  0.0000  0.0000  6 Pr 2.66
H  0.5000  0.0000  0.5000  6 Pr 2.66
H  0.5000  0.5000  0.0000  6 Pr 2.66
H  0.5000  0.5000  0.5000  6 Pr 2.66
H  0.6250  0.3750  0.2500  4 Pr 2.31
H  0.6250  0.7500  0.3750  4 Pr 2.31
H  0.7500  0.3750  0.6250  4 Pr 2.31
H  0.7500  0.8750  0.1250  4 Pr 2.31
H  0.8750  0.1250  0.7500  4 Pr 2.31
H  0.8750  0.2500  0.1250  4 Pr 2.31

***

Entry 2:
The following is a PBE calculation of a geometry-optimized BeCrBr2 structure, from Alexandria.

Results
**Polymorph energy (0 for the lowest one)**: 351 kJ/mol of formula units
**Formation energy (no corrections)**: 0.837 eV/atom
**Space-group type**: F-43m
**Energy**: -53.40 eV per cell
**Magnetic moment**: 4.4 μB/f.u.

abc: 6.9928 6.9928 6.9928
angles: 90.00 90.00 90.00
Closest atoms and distances in Å follow each position.
Element x y z (fractional)
Be  0.0000  0.0000  0.0000  4 Br 3.03, 4 Cr 3.03
Be  0.0000  0.5000  0.5000  4 Br 3.03, 4 Cr 3.03
Be  0.5000  0.0000  0.5000  4 Br 3.03, 4 Cr 3.03
Be  0.5000  0.5000  0.0000  4 Br 3.03, 4 Cr 3.03
Cr  0.2500  0.2500  0.2500  4 Br 3.03, 4 Be 3.03
Cr  0.2500  0.7500  0.7500  4 Br 3.03, 4 Be 3.03
Cr  0.7500  0.2500  0.7500  4 Br 3.03, 4 Be 3.03
Cr  0.7500  0.7500  0.2500  4 Br 3.03, 4 Be 3.03
Br  0.0000  0.0000  0.5000  4 Cr 3.03, 4 Br 3.03
Br  0.0000  0.5000  0.0000  4 Cr 3.03, 4 Br 3.03
Br  0.2500  0.2500  0.7500  4 Br 3.03, 4 Be 3.03
Br  0.2500  0.7500  0.2500  4 Br 3.03, 4 Be 3.03
Br  0.5000  0.0000  0.0000  4 Cr 3.03, 4 Br 3.03
Br  0.5000  0.5000  0.5000  4 Cr 3.03, 4 Br 3.03
Br  0.7500  0.2500  0.2500  4 Br 3.03, 4 Be 3.03
Br  0.7500  0.7500  0.7500  4 Be 3.03, 4 Br 3.03

***

Entry 3:
The following is a PBE calculation of a geometry-optimized CsGaHg3 structure, from Alexandria.

Results
**Polymorph energy (0 for the lowest one)**: 19 kJ/mol of formula units
**Space-group type**: P2_1/c
**Energy of formation**: -0.499 eV/f.u.
**Energy**: -21.14 eV per cell
**Magnetic moment**: 0.0 μB/f.u.

abc: 8.9220 6.4235 13.6698
angles: 90.00 122.38 90.00
Closest atoms and distances in Å follow each position.
Element x y z (fractional)
Cs  0.1732  0.2426  0.0525  7 Hg 3.63-3.97, 1 Ga 3.85
Cs  0.1732  0.2574  0.5525  7 Hg 3.63-3.97, 1 Ga 3.85
Cs  0.8268  0.7426  0.4475  7 Hg 3.63-3.97, 1 Ga 3.85
Cs  0.8268  0.7574  0.9475  7 Hg 3.63-3.97, 1 Ga 3.85
Ga  0.2864  0.6119  0.8792  5 Hg 2.81-2.95
Ga  0.2864  0.8881  0.3792  5 Hg 2.81-2.95
Ga  0.7136  0.1119  0.6208  5 Hg 2.81-2.95
Ga  0.7136  0.3881  0.1208  5 Hg 2.81-2.95
Hg  0.0733  0.5261  0.2619  2 Ga 2.86-2.89, 1 Hg 3.20
Hg  0.0733  0.9739  0.7619  2 Ga 2.86-2.89, 1 Hg 3.20
Hg  0.3631  0.7469  0.7149  1 Ga 2.81, 1 Hg 3.00
Hg  0.3631  0.7531  0.2149  1 Ga 2.81, 1 Hg 3.00
Hg  0.4509  0.1979  0.9127  2 Ga 2.82-2.95, 1 Hg 3.00
Hg  0.4509  0.3021  0.4127  2 Ga 2.82-2.95, 1 Hg 3.00
Hg  0.5491  0.6979  0.5873  2 Ga 2.82-2.95, 1 Hg 3.00
Hg  0.5491  0.8021  0.0873  2 Ga 2.82-2.95, 1 Hg 3.00
Hg  0.6369  0.2469  0.7851  1 Ga 2.81, 1 Hg 3.00
Hg  0.6369  0.2531  0.2851  1 Ga 2.81, 1 Hg 3.00
Hg  0.9267  0.0261  0.2381  2 Ga 2.86-2.89, 1 Hg 3.20
Hg  0.9267  0.4739  0.7381  2 Ga 2.86-2.89, 1 Hg 3.20

***

Entry 4:
The following is a PBE calculation of a geometry-optimized AcPmBiSe structure, from Alexandria.

Results
**Polymorph energy (0 for the lowest one)**: 0 kJ/mol of formula units
**Formation energy (no corrections)**: -1.247 eV/atom
**Space-group type**: R3m
**Energy**: -63.64 eV per cell
**Magnetic moment**: 0.0 μB/f.u.

abc: 4.4249 4.4249 23.9402
angles: 90.00 90.00 120.00
Closest atoms and distances in Å follow each position.
Element x y z (fractional)
Ac  0.0000  0.0000  0.0000  3 Se 3.27, 3 Bi 3.33
Ac  0.3333  0.6667  0.6667  3 Se 3.27, 3 Bi 3.33
Ac  0.6667  0.3333  0.3333  3 Se 3.27, 3 Bi 3.33
Pm  0.0000  0.0000  0.8348  3 Bi 3.18, 3 Se 3.19
Pm  0.3333  0.6667  0.5014  3 Bi 3.18, 3 Se 3.19
Pm  0.6667  0.3333  0.1681  3 Bi 3.18, 3 Se 3.19
Bi  0.0000  0.0000  0.4223  3 Pm 3.18, 3 Ac 3.33
Bi  0.3333  0.6667  0.0890  3 Pm 3.18, 3 Ac 3.33
Bi  0.6667  0.3333  0.7557  3 Pm 3.18, 3 Ac 3.33
Se  0.0000  0.0000  0.5812  3 Pm 3.19, 3 Ac 3.27
Se  0.3333  0.6667  0.2478  3 Pm 3.19, 3 Ac 3.27
Se  0.6667  0.3333  0.9145  3 Pm 3.19, 3 Ac 3.27

***

Entry 5:
The following is a PBE calculation of a geometry-optimized RbSr2NbPd structure, from Alexandria.

Results
**Space-group type**: P4/mmm
**Energy of formation**: 8.676 eV/f.u.
**Energy**: -10.92 eV per cell
**Magnetic moment**: 1.8 μB/f.u.

abc: 5.9339 5.9339 4.8811
angles: 90.00 90.00 90.00
Closest atoms and distances in Å follow each position.
Element x y z (fractional)
Rb  0.0000  0.0000  0.0000  2 Nb 2.44
Sr  0.0000  0.5000  0.0000  2 Rb 2.97
Sr  0.5000  0.0000  0.0000  2 Rb 2.97
Nb  0.0000  0.0000  0.5000  2 Rb 2.44
Pd  0.5000  0.5000  0.5000  8 Sr 3.84, 4 Nb 4.20

***

Entry 6:
The following is a PBE calculation of a geometry-optimized K2S structure, from Alexandria.

Results
**Formation energy (no corrections)**: -1.064 eV/atom
**Space-group type**: Fm-3m
**Energy**: -38.06 eV per cell
**Magnetic moment**: 0.0 μB/f.u.

abc: 7.4571 7.4571 7.4571
angles: 90.00 90.00 90.00
Closest atoms and distances in Å follow each position.
Element x y z (fractional)
K  0.2500  0.2500  0.2500  4 S 3.23
K  0.2500  0.2500  0.7500  4 S 3.23
K  0.2500  0.7500  0.2500  4 S 3.23
K  0.2500  0.7500  0.7500  4 S 3.23
K  0.7500  0.2500  0.2500  4 S 3.23
K  0.7500  0.2500  0.7500  4 S 3.23
K  0.7500  0.7500  0.2500  4 S 3.23
K  0.7500  0.7500  0.7500  4 S 3.23
S  0.0000  0.0000  0.0000  8 K 3.23
S  0.0000  0.5000  0.5000  8 K 3.23
S  0.5000  0.0000  0.5000  8 K 3.23
S  0.5000  0.5000  0.0000  8 K 3.23

***

Entry 7:
The following is a PBE calculation of a geometry-optimized HfGaS structure, from Alexandria.

Results
**Formation energy (no corrections)**: -0.998 eV/atom
**Space-group type**: P4/nmm
**Energy**: -40.20 eV per cell
**Magnetic moment**: 0.0 μB/f.u.

abc: 3.5752 3.5752 8.2474
angles: 90.00 90.00 90.00
Closest atoms and distances in Å follow each position.
Element x y z (fractional)
Hf  0.2500  0.2500  0.2153  5 S 2.66-2.74, 4 Ga 2.95
Hf  0.7500  0.7500  0.7847  5 S 2.66-2.74, 4 Ga 2.95
Ga  0.2500  0.7500  0.5000  4 Ga 2.53
Ga  0.7500  0.2500  0.5000  4 Ga 2.53
S  0.2500  0.2500  0.8836  5 Hf 2.66-2.74
S  0.7500  0.7500  0.1164  5 Hf 2.66-2.74

***

Entry 8:
The following is a PBE calculation of a geometry-optimized TmAs6Pd12 structure, from Alexandria.

Results
**Space-group type**: R-3m
**Energy of formation**: -6.501 eV/f.u.
**Energy**: -101.18 eV per cell
**Magnetic moment**: 0.0 μB/f.u.

abc: 7.3384 7.3384 7.3384
angles: 105.92 105.92 105.92
Closest atoms and distances in Å follow each position.
Element x y z (fractional)
Tm  0.0000  0.0000  0.0000  6 Pd 2.99
As  0.2544  0.2544  0.6680  6 Pd 2.50-2.58
As  0.2544  0.6680  0.2544  6 Pd 2.50-2.58
As  0.3320  0.7456  0.7456  6 Pd 2.50-2.58
As  0.6680  0.2544  0.2544  6 Pd 2.50-2.58
As  0.7456  0.3320  0.7456  6 Pd 2.50-2.58
As  0.7456  0.7456  0.3320  6 Pd 2.50-2.58
Pd  0.1262  0.5000  0.8738  4 As 2.50-2.58, 2 Pd 2.78
Pd  0.1262  0.8738  0.5000  4 As 2.50-2.58, 2 Pd 2.78
Pd  0.1323  0.3739  0.3739  2 As 2.58, 4 Pd 2.78-2.83
Pd  0.3739  0.1323  0.3739  2 As 2.58, 4 Pd 2.78-2.83
Pd  0.3739  0.3739  0.1323  2 As 2.58, 4 Pd 2.78-2.83
Pd  0.5000  0.1262  0.8738  4 As 2.50-2.58, 2 Pd 2.78
Pd  0.5000  0.8738  0.1262  4 As 2.50-2.58, 2 Pd 2.78
Pd  0.6261  0.6261  0.8677  2 As 2.58, 4 Pd 2.78-2.83
Pd  0.6261  0.8677  0.6261  2 As 2.58, 4 Pd 2.78-2.83
Pd  0.8677  0.6261  0.6261  2 As 2.58, 4 Pd 2.78-2.83
Pd  0.8738  0.1262  0.5000  4 As 2.50-2.58, 2 Pd 2.78
Pd  0.8738  0.5000  0.1262  4 As 2.50-2.58, 2 Pd 2.78